Entry 1:
## CeMgCdNi (PBE)

Data for an optimized crystal structure of CeMgCdNi.

Summary:
* E: -3.67 eV/atom
* D(E_F): 1.653 states/eV/atom
* formation energy: -0.113 eV per atom

a = 4.9251 Å, b = 4.9251 Å, c = 4.9251 Å
α = 60.00°, β = 60.00°, γ = 60.00°
With the nearest neighbours (Å) after each atom.
Element x y z (fractional)
Ni1 0.2500 0.2500 0.2500  4 Mg 3.02, 4 Ce 3.02
Mg1 0.5000 0.5000 0.5000  4 Cd 3.02, 4 Ni 3.02
Ce1 0.0000 0.0000 0.0000  4 Cd 3.02, 4 Ni 3.02
Cd1 0.7500 0.7500 0.7500  4 Ce 3.02, 4 Mg 3.02


Entry 2:
## CeMg2CdPd2 (PBE)

Data for an optimized crystal structure of CeMg2CdPd2.

Summary:
* E: -3.89 eV/atom
* D(E_F): 1.323 states/eV/atom
* formation energy: -0.481 eV per atom

a = 4.6365 Å, b = 4.6365 Å, c = 6.6978 Å
α = 90.00°, β = 90.00°, γ = 120.00°
With the nearest neighbours (Å) after each atom.
Element x y z (fractional)
Ce1 0.0000 0.0000 0.0000  6 Pd 3.16, 2 Cd 3.35, 6 Mg 3.46
Mg1 0.3333 0.6667 0.6717  4 Pd 2.73-2.81, 3 Cd 2.91
Mg2 0.6667 0.3333 0.3283  4 Pd 2.73-2.81, 3 Cd 2.91
Cd1 0.0000 0.0000 0.5000  6 Mg 2.91, 6 Pd 3.15
Pd1 0.3333 0.6667 0.2519  4 Mg 2.73-2.81
Pd2 0.6667 0.3333 0.7481  4 Mg 2.73-2.81


Entry 3:
## CePmMgCd (PBE)

Data for an optimized crystal structure of CePmMgCd.

Summary:
* E: -3.40 eV/atom
* D(E_F): 2.714 states/eV/atom
* formation energy: -0.098 eV per atom

a = 5.4328 Å, b = 5.4328 Å, c = 5.4328 Å
α = 60.00°, β = 60.00°, γ = 60.00°
With the nearest neighbours (Å) after each atom.
Element x y z (fractional)
Mg1 0.2500 0.2500 0.2500  4 Ce 3.33, 4 Pm 3.33
Cd1 0.7500 0.7500 0.7500  4 Ce 3.33, 4 Pm 3.33
Ce1 0.0000 0.0000 0.0000  4 Mg 3.33, 4 Cd 3.33
Pm1 0.5000 0.5000 0.5000  4 Cd 3.33, 4 Mg 3.33


Entry 4:
## CeMgCdPt (PBE)

Data for an optimized crystal structure of CeMgCdPt.

Summary:
* E: -4.21 eV/atom
* excess energy over the best structure of this formula in the dataset: 0.0000 eV per atom
* D(E_F): 1.166 states/eV/atom
* formation energy: -0.585 eV per atom

a = 3.3618 Å, b = 3.3618 Å, c = 7.6603 Å
α = 90.00°, β = 90.00°, γ = 90.00°
With the nearest neighbours (Å) after each atom.
Element x y z (fractional)
Ce1 0.6463 0.3537 0.0103  4 Pt 2.99, 1 Mg 3.32
Mg1 0.6460 0.3540 0.4431  4 Pt 2.81-2.82, 4 Cd 3.03
Cd1 0.1463 0.8537 0.6891  4 Mg 3.03, 4 Cd 3.36, 1 Pt 3.39
Pt1 0.1463 0.8537 0.2463  4 Mg 2.81-2.82, 4 Ce 2.99


Entry 5:
## CeMgCdPt (PBE)

Data for an optimized crystal structure of CeMgCdPt.

Summary:
* E: -4.15 eV/atom
* excess energy over the best structure of this formula in the dataset: 0.0539 eV per atom
* D(E_F): 1.649 states/eV/atom
* formation energy: -0.531 eV per atom

a = 4.9838 Å, b = 4.9838 Å, c = 4.9838 Å
α = 60.00°, β = 60.00°, γ = 60.00°
With the nearest neighbours (Å) after each atom.
Element x y z (fractional)
Mg1 0.5000 0.5000 0.5000  4 Cd 3.05, 4 Pt 3.05
Ce1 0.0000 0.0000 0.0000  4 Cd 3.05, 4 Pt 3.05
Pt1 0.7500 0.7500 0.7500  4 Ce 3.05, 4 Mg 3.05
Cd1 0.2500 0.2500 0.2500  4 Ce 3.05, 4 Mg 3.05


Entry 6:
## CePuMgCd (PBE)

Data for an optimized crystal structure of CePuMgCd.

Summary:
* E: -5.66 eV/atom
* D(E_F): 1.488 states/eV/atom
* formation energy: 0.030 eV per atom

a = 5.2017 Å, b = 5.2017 Å, c = 5.2017 Å
α = 60.00°, β = 60.00°, γ = 60.00°
With the nearest neighbours (Å) after each atom.
Element x y z (fractional)
Mg1 0.5000 0.5000 0.5000  4 Cd 3.19, 4 Ce 3.19
Cd1 0.7500 0.7500 0.7500  4 Mg 3.19, 4 Pu 3.19
Ce1 0.2500 0.2500 0.2500  4 Mg 3.19, 4 Pu 3.19
Pu1 0.0000 0.0000 0.0000  4 Ce 3.19, 4 Cd 3.19


Entry 7:
## CeMgCdRu (PBE)

Data for an optimized crystal structure of CeMgCdRu.

Summary:
* E: -4.47 eV/atom
* D(E_F): 1.215 states/eV/atom
* formation energy: -0.044 eV per atom

a = 4.9094 Å, b = 4.9094 Å, c = 4.9094 Å
α = 60.00°, β = 60.00°, γ = 60.00°
With the nearest neighbours (Å) after each atom.
Element x y z (fractional)
Ru1 0.7500 0.7500 0.7500  4 Mg 3.01, 4 Ce 3.01
Mg1 0.5000 0.5000 0.5000  4 Cd 3.01, 4 Ru 3.01
Ce1 0.0000 0.0000 0.0000  4 Cd 3.01, 4 Ru 3.01
Cd1 0.2500 0.2500 0.2500  4 Ce 3.01, 4 Mg 3.01


Entry 8:
## CeMg2CdRu (PBE)

Data for an optimized crystal structure of CeMg2CdRu.

Summary:
* E: -3.94 eV/atom
* D(E_F): 1.241 states/eV/atom
* formation energy: -0.080 eV per atom

a = 5.1762 Å, b = 5.1761 Å, c = 4.9447 Å
α = 90.00°, β = 90.00°, γ = 90.00°
With the nearest neighbours (Å) after each atom.
Element x y z (fractional)
Ce1 0.0000 0.0000 0.4926  2 Ru 2.41-2.53
Mg1 0.0000 0.5000 0.9942  2 Ru 2.59
Mg2 0.5000 0.0000 0.9942  2 Ru 2.59
Cd1 0.5000 0.5000 0.5138  8 Mg 3.51-3.65, 4 Ce 3.66
Ru1 0.0000 0.0000 0.0052  2 Ce 2.41-2.53, 4 Mg 2.59